# GGA-PBEsol Ho2C3, relaxed
data_Ho2C3
_chemical_formula_sum 'Ho16 C24'
_cell_length_a 8.077
_cell_length_b 8.077
_cell_length_c 8.077
_cell_angle_alpha 90.00
_cell_angle_beta 90.00
_cell_angle_gamma 90.00
_space_group_name_H-M_alt 'I -4 3 d'
_space_group_IT_number 220
_space_group_name_Hall 'I -4bd 2c 3'
loop_
_atom_site_label
_atom_site_fract_x
_atom_site_fract_y
_atom_site_fract_z
Ho1 0.050 0.450 0.550
C1 0.000 0.250 0.792
# Crystal system: cubic
# Uncorrected energy (eV per formula unit): -40.48
# Formation energy (eV/atom): -0.330

---

# GGA-PBEsol Ho2C, relaxed
data_Ho2C
_chemical_formula_sum 'Ho6 C3'
_cell_length_a 3.5211
_cell_length_b 3.5211
_cell_length_c 18.1019
_cell_angle_alpha 90.00
_cell_angle_beta 90.00
_cell_angle_gamma 120.00
_space_group_name_H-M_alt 'R -3 m'
_space_group_IT_number 166
_space_group_name_Hall '-R 3 2"'
loop_
_atom_site_label
_atom_site_fract_x
_atom_site_fract_y
_atom_site_fract_z
Ho1 0.0000 0.0000 0.2401
C1 0.0000 0.0000 0.5000
# Crystal system: trigonal
# Uncorrected energy (eV per formula unit): -20.53
# Formation energy (eV/atom): -0.328

---

# GGA-PBEsol Ho15C19, relaxed
data_Ho15C19
_chemical_formula_sum 'Ho30 C38'
_cell_length_a 8.021
_cell_length_b 8.021
_cell_length_c 15.195
_cell_angle_alpha 90.00
_cell_angle_beta 90.00
_cell_angle_gamma 90.00
_space_group_name_H-M_alt 'P 4/m n c'
_space_group_IT_number 128
_space_group_name_Hall '-P 4 2n'
loop_
_atom_site_label
_atom_site_fract_x
_atom_site_fract_y
_atom_site_fract_z
Ho1 0.000 0.000 0.000
Ho2 0.000 0.000 0.331
Ho3 0.094 0.298 0.500
Ho4 0.099 0.715 0.151
C1 0.000 0.000 0.163
C2 0.000 0.000 0.500
C3 0.096 0.303 0.330
C4 0.101 0.698 0.000
C5 0.152 0.348 0.250
# Crystal system: tetragonal
# Uncorrected energy (eV per formula unit): -270.19
# Formation energy (eV/atom): -0.374

---

# GGA-PBEsol KHoC2O6, relaxed
data_KHoC2O6
_chemical_formula_sum 'K4 Ho4 C8 O24'
_cell_length_a 8.279
_cell_length_b 9.532
_cell_length_c 6.869
_cell_angle_alpha 90.00
_cell_angle_beta 109.53
_cell_angle_gamma 90.00
_space_group_name_H-M_alt 'C 1 2/c 1'
_space_group_IT_number 15
loop_
_space_group_symop_operation_xyz
'x,y,z'
'-x,-y,-z'
'-x,y,-z+1/2'
'x,-y,z+1/2'
'x+1/2,y+1/2,z'
'-x+1/2,-y+1/2,-z'
'-x+1/2,y+1/2,-z+1/2'
'x+1/2,-y+1/2,z+1/2'
loop_
_atom_site_label
_atom_site_fract_x
_atom_site_fract_y
_atom_site_fract_z
K1 0.000 0.121 0.250
Ho1 0.000 0.409 0.750
C1 0.230 0.373 0.251
O1 0.082 0.383 0.101
O2 0.176 0.235 0.730
O3 0.232 0.024 0.620
# Crystal system: monoclinic
# Formation energy without anion corrections (eV per atom): -2.19
# Uncorrected energy (eV per formula unit): -78.74

---

# GGA-PBEsol La4HoC10, relaxed
data_La4HoC10
_chemical_formula_sum 'La16 Ho4 C40'
_cell_length_a 5.430
_cell_length_b 6.454
_cell_length_c 27.100
_cell_angle_alpha 90.00
_cell_angle_beta 90.00
_cell_angle_gamma 90.00
_space_group_name_H-M_alt 'F m m m'
_space_group_IT_number 69
_space_group_name_Hall '-F 2 2'
loop_
_atom_site_label
_atom_site_fract_x
_atom_site_fract_y
_atom_site_fract_z
La1 0.000 0.000 0.098
La2 0.000 0.000 0.301
Ho1 0.000 0.000 0.500
C1 0.000 0.100 0.200
C2 0.000 0.100 0.405
C3 0.000 0.101 0.000
# Crystal system: orthorhombic
# Uncorrected energy (eV per formula unit): -124.54
# Formation energy (eV/atom): -0.117

---

# GGA-PBEsol LaHo4C10, relaxed
data_LaHo4C10
_chemical_formula_sum 'La2 Ho8 C20'
_cell_length_a 19.374
_cell_length_b 5.173
_cell_length_c 4.137
_cell_angle_alpha 90.00
_cell_angle_beta 91.70
_cell_angle_gamma 90.00
_space_group_name_H-M_alt 'C 1 2/m 1'
_space_group_IT_number 12
loop_
_space_group_symop_operation_xyz
'x,y,z'
'-x,-y,-z'
'-x,y,-z'
'x,-y,z'
'x+1/2,y+1/2,z'
'-x+1/2,-y+1/2,-z'
'-x+1/2,y+1/2,-z'
'x+1/2,-y+1/2,z'
loop_
_atom_site_label
_atom_site_fract_x
_atom_site_fract_y
_atom_site_fract_z
La1 0.000 0.000 0.000
Ho1 0.101 0.500 0.591
Ho2 0.204 0.000 0.209
C1 0.020 0.500 0.129
C2 0.088 0.000 0.482
C3 0.130 0.000 0.735
C4 0.178 0.500 0.064
C5 0.218 0.500 0.322
# Crystal system: monoclinic
# Uncorrected energy (eV per formula unit): -124.22
# Formation energy (eV/atom): -0.176

---

# GGA-PBEsol Ho2Mn17C3, relaxed
data_Ho2Mn17C3
_chemical_formula_sum 'Ho4 Mn34 C6'
_cell_length_a 8.3402
_cell_length_b 8.3402
_cell_length_c 8.1729
_cell_angle_alpha 90.00
_cell_angle_beta 90.00
_cell_angle_gamma 120.00
_space_group_name_H-M_alt 'P 63/m m c'
_space_group_IT_number 194
_space_group_name_Hall '-P 6c 2c'
loop_
_atom_site_label
_atom_site_fract_x
_atom_site_fract_y
_atom_site_fract_z
Ho1 0.0000 0.0000 0.2500
Ho2 0.3333 0.6667 0.2500
Mn1 0.0000 0.5000 0.0000
Mn2 0.0622 0.3908 0.7500
Mn3 0.1713 0.3426 0.0271
Mn4 0.3333 0.6667 0.6074
C1 0.1647 0.3293 0.2500
# Crystal system: hexagonal
# Uncorrected energy (eV per formula unit): -207.18
# Formation energy (eV/atom): -0.109

---

# GGA-PBEsol Ho10Mn13C18, relaxed
data_Ho10Mn13C18
_chemical_formula_sum 'Ho20 Mn26 C36'
_cell_length_a 9.920
_cell_length_b 9.920
_cell_length_c 9.920
_cell_angle_alpha 90.00
_cell_angle_beta 90.00
_cell_angle_gamma 90.00
_space_group_name_H-M_alt 'I -4 3 m'
_space_group_IT_number 217
_space_group_name_Hall 'I -4 2 3'
loop_
_atom_site_label
_atom_site_fract_x
_atom_site_fract_y
_atom_site_fract_z
Ho1 0.000 0.250 0.500
Ho2 0.205 0.205 0.795
Mn1 0.000 0.000 0.000
Mn2 0.076 0.076 0.256
C1 0.000 0.000 0.430
C2 0.037 0.258 0.258
# Crystal system: cubic
# Uncorrected energy (eV per formula unit): -365.56
# Formation energy (eV/atom): -0.380

---

# GGA-PBEsol HoMn2SiC, relaxed
data_HoMn2SiC
_chemical_formula_sum 'Ho4 Mn8 Si4 C4'
_cell_length_a 3.659
_cell_length_b 10.395
_cell_length_c 6.873
_cell_angle_alpha 90.00
_cell_angle_beta 90.00
_cell_angle_gamma 90.00
_space_group_name_H-M_alt 'C m c m'
_space_group_IT_number 63
_space_group_name_Hall '-C 2c 2'
loop_
_atom_site_label
_atom_site_fract_x
_atom_site_fract_y
_atom_site_fract_z
Ho1 0.000 0.044 0.250
Mn1 0.000 0.331 0.063
Si1 0.000 0.236 0.750
C1 0.000 0.500 0.000
# Crystal system: orthorhombic
# Formation energy without anion corrections (eV per atom): -0.55
# Uncorrected energy (eV per formula unit): -42.61

---

# GGA-PBEsol Ho2Mo2C3, relaxed
data_Ho2Mo2C3
_chemical_formula_sum 'Ho4 Mo4 C6'
_cell_length_a 11.210
_cell_length_b 3.336
_cell_length_c 5.617
_cell_angle_alpha 90.00
_cell_angle_beta 108.11
_cell_angle_gamma 90.00
_space_group_name_H-M_alt 'C 1 2/m 1'
_space_group_IT_number 12
loop_
_space_group_symop_operation_xyz
'x,y,z'
'-x,-y,-z'
'-x,y,-z'
'x,-y,z'
'x+1/2,y+1/2,z'
'-x+1/2,-y+1/2,-z'
'-x+1/2,y+1/2,-z'
'x+1/2,-y+1/2,z'
loop_
_atom_site_label
_atom_site_fract_x
_atom_site_fract_y
_atom_site_fract_z
Ho1 0.114 0.000 0.321
Mo1 0.149 0.500 0.872
C1 0.000 0.500 0.000
C2 0.230 0.000 0.758
# Crystal system: monoclinic
# Uncorrected energy (eV per formula unit): -65.20
# Formation energy (eV/atom): -0.405

---

# GGA-PBEsol Ho2Si4CN6, relaxed
data_Ho2Si4CN6
_chemical_formula_sum 'Ho8 Si16 C4 N24'
_cell_length_a 5.893
_cell_length_b 9.888
_cell_length_c 11.824
_cell_angle_alpha 90.00
_cell_angle_beta 119.59
_cell_angle_gamma 90.00
_space_group_name_H-M_alt 'P 1 21/c 1'
_space_group_IT_number 14
loop_
_space_group_symop_operation_xyz
'x,y,z'
'-x,-y,-z'
'-x,y+1/2,-z+1/2'
'x,-y+1/2,z+1/2'
loop_
_atom_site_label
_atom_site_fract_x
_atom_site_fract_y
_atom_site_fract_z
Ho1 0.155 0.087 0.418
Ho2 0.171 0.067 0.905
Si1 0.180 0.227 0.659
Si2 0.296 0.704 0.823
Si3 0.335 0.713 0.579
Si4 0.496 0.521 0.251
C1 0.474 0.709 0.247
N1 0.008 0.210 0.001
N2 0.024 0.239 0.248
N3 0.202 0.053 0.635
N4 0.252 0.533 0.775
N5 0.442 0.544 0.600
N6 0.459 0.710 0.991
# Crystal system: monoclinic
# Formation energy without anion corrections (eV per atom): -1.37
# Uncorrected energy (eV per formula unit): -111.44

---

# GGA-PBEsol Na2HoPCO7, relaxed
data_Na2HoPCO7
_chemical_formula_sum 'Na4 Ho2 P2 C2 O14'
_cell_length_a 5.040
_cell_length_b 6.921
_cell_length_c 9.341
_cell_angle_alpha 90.00
_cell_angle_beta 90.73
_cell_angle_gamma 90.00
_space_group_name_H-M_alt 'P 1 21/m 1'
_space_group_IT_number 11
loop_
_space_group_symop_operation_xyz
'x,y,z'
'-x,-y,-z'
'-x,y+1/2,-z'
'x,-y+1/2,z'
loop_
_atom_site_label
_atom_site_fract_x
_atom_site_fract_y
_atom_site_fract_z
Na1 0.242 0.011 0.210
Ho1 0.221 0.250 0.626
P1 0.303 0.750 0.585
C1 0.258 0.250 0.916
O1 0.028 0.250 0.850
O2 0.187 0.567 0.653
O3 0.238 0.750 0.420
O4 0.287 0.250 0.049
O5 0.389 0.250 0.401
O6 0.462 0.250 0.828
# Crystal system: monoclinic
# Formation energy without anion corrections (eV per atom): -2.38
# Uncorrected energy (eV per formula unit): -88.47

---

# GGA-PBEsol Ho4Ni13C4, relaxed
data_Ho4Ni13C4
_chemical_formula_sum 'Ho8 Ni26 C8'
_cell_length_a 11.540
_cell_length_b 11.793
_cell_length_c 3.788
_cell_angle_alpha 90.00
_cell_angle_beta 90.00
_cell_angle_gamma 90.00
_space_group_name_H-M_alt 'C m m m'
_space_group_IT_number 65
_space_group_name_Hall '-C 2 2'
loop_
_atom_site_label
_atom_site_fract_x
_atom_site_fract_y
_atom_site_fract_z
Ho1 0.000 0.188 0.000
Ho2 0.152 0.500 0.000
Ni1 0.000 0.000 0.500
Ni2 0.107 0.322 0.500
Ni3 0.123 0.000 0.000
Ni4 0.182 0.108 0.500
Ni5 0.250 0.250 0.000
C1 0.000 0.442 0.500
C2 0.250 0.250 0.500
# Crystal system: orthorhombic
# Uncorrected energy (eV per formula unit): -146.62
# Formation energy (eV/atom): -0.390